First-principles (PBE-GGA) data for crystalline RbNa2Ge2 at its relaxed geometry, as listed in Alexandria.

Formation enthalpy at 0 K in meV/atom: -77
Energy above the lowest structure with this stoichiometry in eV per formula unit: 0.00

a = 7.1587 Å, b = 7.1587 Å, c = 6.0164 Å
α = 99.42°, β = 99.42°, γ = 33.41°
Last column: nearest neighbours and their distance in Å.
Element x y z (fractional)
Rb 0.0000 0.0000 0.0000  6 Ge 3.64-3.95
Na 0.3400 0.3400 0.4305  4 Ge 3.12-3.14, 2 Na 3.42
Na 0.6600 0.6600 0.5695  4 Ge 3.12-3.14, 2 Na 3.42
Ge 0.2781 0.2781 0.9058  2 Ge 2.53
Ge 0.7219 0.7219 0.0942  2 Ge 2.53